VASP calculation (PBE) on TbGdThIn after structural relaxation.

Summary:
The formation energy is -0.039 eV per atom. As for the final energy: -0.5334 Ry/atom. The calculation puts the volume at 117 Å³ per cell.

Cell lengths 5.486, 5.486, 5.486 Å; angles 60.00, 60.00, 60.00 degrees
Site moments in Bohr magnetons follow the coordinates.
Atoms (fractional coordinates):
Gd 0.750 0.750 0.750  7.19
In 0.500 0.500 0.500  -0.01
Th 0.000 0.000 0.000  0.28
Tb 0.250 0.250 0.250  0.09

=====

VASP calculation (PBE) on TbGdTiIn after structural relaxation.

Summary:
The formation energy is -0.077 eV per atom. As for the final energy: -0.5448 Ry/atom. The calculation puts the volume at 104 Å³ per cell.

Cell lengths 5.280, 5.280, 5.280 Å; angles 60.00, 60.00, 60.00 degrees
Site moments in Bohr magnetons follow the coordinates.
Atoms (fractional coordinates):
Tb 0.000 0.000 0.000  -0.31
Gd 0.500 0.500 0.500  6.87
Ti 0.250 0.250 0.250  -1.60
In 0.750 0.750 0.750  0.03

=====

VASP calculation (PBE) on TbGdTmIn after structural relaxation.

Summary:
The formation energy is -0.130 eV per atom. As for the final energy: -0.4858 Ry/atom. The calculation puts the volume at 114 Å³ per cell.

Cell lengths 5.441, 5.441, 5.441 Å; angles 60.00, 60.00, 60.00 degrees
Site moments in Bohr magnetons follow the coordinates.
Atoms (fractional coordinates):
Tb 0.750 0.750 0.750  0.37
In 0.250 0.250 0.250  0.00
Gd 0.000 0.000 0.000  7.30
Tm 0.500 0.500 0.500  0.28

=====

VASP calculation (PBE) on TbGdYIn after structural relaxation.

Summary:
The formation energy is -0.156 eV per atom. As for the final energy: -0.5244 Ry/atom. The calculation puts the volume at 115 Å³ per cell.

Cell lengths 5.464, 5.464, 5.464 Å; angles 60.00, 60.00, 60.00 degrees
Site moments in Bohr magnetons follow the coordinates.
Atoms (fractional coordinates):
Tb 0.250 0.250 0.250  0.26
Y 0.750 0.750 0.750  0.21
Gd 0.500 0.500 0.500  7.41
In 0.000 0.000 0.000  -0.02

=====

VASP calculation (PBE) on GdInTc4 after structural relaxation.

Summary:
The formation energy is 0.046 eV per atom. As for the final energy: -0.7106 Ry/atom. The calculation puts the volume at 107 Å³ per cell.

Cell lengths 5.337, 5.337, 5.337 Å; angles 60.00, 60.00, 60.00 degrees
Site moments in Bohr magnetons follow the coordinates.
Atoms (fractional coordinates):
Tc 0.626 0.626 0.626  -0.17
Tc 0.626 0.626 0.122  -0.17
Tc 0.626 0.122 0.626  -0.17
In 0.000 0.000 0.000  0.00
Gd 0.250 0.250 0.250  7.00
Tc 0.122 0.626 0.626  -0.17

=====

VASP calculation (PBE) on GdThInTc after structural relaxation.

Summary:
The formation energy is -0.078 eV per atom. As for the final energy: -0.6416 Ry/atom. The calculation puts the volume at 99 Å³ per cell.

Cell lengths 5.199, 5.199, 5.199 Å; angles 60.00, 60.00, 60.00 degrees
Site moments in Bohr magnetons follow the coordinates.
Atoms (fractional coordinates):
Th 0.750 0.750 0.750  0.00
Gd 0.250 0.250 0.250  -7.02
Tc 0.500 0.500 0.500  0.18
In 0.000 0.000 0.000  0.00